Record 1
V3HW: single point on PBEsol structure, SCAN.

Output
Fermi-level density of states: 5.292 states/eV/cell
Electronic total energy: -125.0 eV/cell
Magnetic moment: 0.00 μB per formula unit

```
data_V3HW
_chemical_formula_sum 'V3 H1 W1'
_symmetry_space_group_name_H-M 'P m -3 m'
_symmetry_Int_Tables_number 221
_symmetry_space_group_name_Hall '-P 4 2 3'
_cell_length_a 3.8607
_cell_length_b 3.8607
_cell_length_c 3.8607
_cell_angle_alpha 90.00
_cell_angle_beta 90.00
_cell_angle_gamma 90.00
loop_
_atom_site_label
_atom_site_fract_x
_atom_site_fract_y
_atom_site_fract_z
_atom_site_occupancy
V1 0.0000 0.0000 0.5000 1
H1 0.0000 0.0000 0.0000 1
W1 0.5000 0.5000 0.5000 1
```


Record 2
TcP2Pt: single point on PBEsol structure, SCAN.

Output
Fermi-level density of states: 7.023 states/eV/cell
Energy above the lowest structure with this stoichiometry: 0.452 eV per atom
Magnetic moment: 1.69 μB per formula unit
Energy relative to the elements: 0.1115 eV per atom

```
data_TcP2Pt
_chemical_formula_sum 'Tc4 P8 Pt4'
_symmetry_space_group_name_H-M 'F m -3 m'
_symmetry_Int_Tables_number 225
_symmetry_space_group_name_Hall '-F 4 2 3'
_cell_length_a 5.9943
_cell_length_b 5.9943
_cell_length_c 5.9943
_cell_angle_alpha 90.00
_cell_angle_beta 90.00
_cell_angle_gamma 90.00
loop_
_atom_site_label
_atom_site_fract_x
_atom_site_fract_y
_atom_site_fract_z
_atom_site_occupancy
Tc1 0.0000 0.0000 0.0000 1
P1 0.2500 0.2500 0.2500 1
Pt1 0.0000 0.0000 0.5000 1
```